First-principles (GGA-PBE) data for a geometry-optimized Pr3Sm6YHo2 structure, as listed in Alexandria.

Unit cell a=6.294 b=6.294 c=12.027 alpha=95.01 beta=95.01 gamma=120.01
Fractional positions:
Pr  0.167  0.833  0.500
Pr  0.833  0.167  0.500
Pr  0.500  0.500  0.500
Sm  0.918  0.584  0.755
Sm  0.748  0.748  0.245
Sm  0.082  0.416  0.245
Sm  0.584  0.918  0.755
Sm  0.252  0.252  0.755
Sm  0.416  0.082  0.245
Y  0.000  0.000  0.000
Ho  0.333  0.667  0.000
Ho  0.667  0.333  0.000

Results
DFT formation energy ... 18 meV per atom
Energy ... -58.1 eV per cell



First-principles (GGA-PBE) data for a geometry-optimized Pr6Sm3Y2Ho structure, as listed in Alexandria.

Unit cell a=6.352 b=6.352 c=12.011 alpha=95.04 beta=95.04 gamma=120.01
Fractional positions:
Pr  0.917  0.585  0.752
Pr  0.750  0.750  0.248
Pr  0.083  0.415  0.248
Pr  0.585  0.917  0.752
Pr  0.250  0.250  0.752
Pr  0.415  0.083  0.248
Sm  0.167  0.833  0.500
Sm  0.833  0.167  0.500
Sm  0.500  0.500  0.500
Y  0.333  0.667  0.000
Y  0.667  0.333  0.000
Ho  0.000  0.000  0.000

Results
DFT formation energy ... 10 meV per atom
Energy ... -60.2 eV per cell



no.,Fermi-level density of states (states/eV per atom)
1,1.42
2,1.23